VASP calculation (PBE-GGA) on Tc3AsOs after structural relaxation.

a = 4.4406 Å, b = 4.4406 Å, c = 4.4406 Å
α = 90.00°, β = 90.00°, γ = 90.00°
Space group Pm-3m (No. 221)
Symmetry-distinct sites (fractional):
Tc  0.0000  0.0000  0.5000
As  0.0000  0.0000  0.0000
Os  0.5000  0.5000  0.5000

Results
For the total energy, the calculation gives -39.49 eV/cell. The energy of formation is 1497 meV per atom. For the energy relative to the lowest polymorph listed for this composition, the calculation gives 0 meV/atom.



VASP calculation (PBE-GGA) on Li2CeNd2Si2 after structural relaxation.

a = 4.5452 Å, b = 4.5452 Å, c = 26.9467 Å
α = 90.00°, β = 90.00°, γ = 120.00°
Space group R-3m (No. 166, hexagonal axes)
Symmetry-distinct sites (fractional):
Li  0.0000  0.0000  0.1056
Ce  0.0000  0.0000  0.5000
Nd  0.0000  0.0000  0.3748
Si  0.0000  0.0000  0.2326

Results
For the total energy, the calculation gives -97.66 eV/cell. Its formation energy (no corrections) is -0.344 eV per atom.



VASP calculation (PBE-GGA) on NaSiAsO6 after structural relaxation.

a = 4.8169 Å, b = 4.8169 Å, c = 10.5255 Å
α = 90.00°, β = 90.00°, γ = 120.00°
Space group P-31c (No. 163)
Symmetry-distinct sites (fractional):
Na  0.0000  0.0000  0.0000
Si  0.3333  0.6667  0.2500
As  0.3333  0.6667  0.7500
O  0.0109  0.3704  0.1556

Results
For the total energy, the calculation gives -108.13 eV/cell. Its formation energy (no corrections) is -1.436 eV per atom.



VASP calculation (PBE-GGA) on BaLaEuTl after structural relaxation.

a = 8.4456 Å, b = 8.4456 Å, c = 8.4456 Å
α = 90.00°, β = 90.00°, γ = 90.00°
Space group F-43m (No. 216)
Symmetry-distinct sites (fractional):
Ba  0.0000  0.0000  0.0000
La  0.0000  0.0000  0.5000
Eu  0.2500  0.2500  0.2500
Tl  0.2500  0.2500  0.7500

Results
For the total energy, the calculation gives -79.06 eV/cell. The energy of formation is -69 meV per atom.



VASP calculation (PBE-GGA) on CuTeSe2Br after structural relaxation.

a = 4.9355 Å, b = 4.9355 Å, c = 4.7501 Å
α = 90.00°, β = 90.00°, γ = 90.00°
Space group P4/mmm (No. 123)
Symmetry-distinct sites (fractional):
Cu  0.0000  0.0000  0.0000
Te  0.5000  0.5000  0.5000
Se  0.0000  0.5000  0.0000
Br  0.0000  0.0000  0.5000

Results
For the total energy, the calculation gives -14.36 eV/cell. Its formation energy (no corrections) is 0.305 eV per atom. For the energy relative to the lowest polymorph listed for this composition, the calculation gives 0 meV/atom.



VASP calculation (PBE-GGA) on In3SiAs after structural relaxation.

a = 5.3260 Å, b = 5.3260 Å, c = 5.3260 Å
α = 90.00°, β = 90.00°, γ = 90.00°
Space group Pm-3m (No. 221)
Symmetry-distinct sites (fractional):
In  0.0000  0.0000  0.5000
Si  0.5000  0.5000  0.5000
As  0.0000  0.0000  0.0000

Results
For the total energy, the calculation gives -14.85 eV/cell. Its formation energy (no corrections) is 0.687 eV per atom. For the energy relative to the lowest polymorph listed for this composition, the calculation gives 245 meV/atom.



VASP calculation (PBE-GGA) on Pm4TlHg2 after structural relaxation.

a = 5.8774 Å, b = 5.8774 Å, c = 13.3050 Å
α = 90.00°, β = 90.00°, γ = 90.00°
Space group I4/mmm (No. 139)
Symmetry-distinct sites (fractional):
Pm  0.0000  0.5000  0.0000
Pm  0.0000  0.5000  0.2500
Tl  0.0000  0.0000  0.0000
Hg  0.0000  0.0000  0.3675

Results
For the total energy, the calculation gives -44.07 eV/cell. The energy of formation is -9 meV per atom. For the energy relative to the lowest polymorph listed for this composition, the calculation gives 298 meV/atom.



Calculated calculated density, 10.6, 5.2, 3.5, 7.0, 6.2, 4.9, 8.6 g cm⁻³ (same order as the records).